# KPmMgO3 (PBE, relaxed)
# Crystal system: monoclinic
# Space group: P2_1/m
# Formation energy (no corrections), eV per formula unit: -15.1
# D(E_F), states/eV/cell: 0.000
# Total magnetic moment, μB per formula unit: 0.0
data_KPmMgO3
_cell_length_a 7.440
_cell_length_b 3.645
_cell_length_c 9.264
_cell_angle_alpha 90.00
_cell_angle_beta 107.20
_cell_angle_gamma 90.00
_symmetry_space_group_name_H-M 'P 1'
_symmetry_Int_Tables_number 1
loop_
_symmetry_equiv_pos_as_xyz
'x,y,z'
loop_
_atom_site_label
_atom_site_fract_x
_atom_site_fract_y
_atom_site_fract_z
K1 0.177 0.250 0.157
K2 0.823 0.750 0.843
Pm1 0.337 0.750 0.853
Pm2 0.663 0.250 0.147
Mg1 0.057 0.250 0.613
Mg2 0.943 0.750 0.387
O1 0.117 0.250 0.836
O2 0.150 0.750 0.583
O3 0.449 0.750 0.117
O4 0.551 0.250 0.883
O5 0.850 0.250 0.417
O6 0.883 0.750 0.164

***

# Na2YTlV (PBE, relaxed)
# Crystal system: tetragonal
# Formation energy, meV per atom: 792
# Space group: P4/mmm
# D(E_F), states/eV/cell: 3.756
# Total magnetic moment, μB per formula unit: 3.3
data_Na2YTlV
_cell_length_a 5.229
_cell_length_b 5.229
_cell_length_c 5.412
_cell_angle_alpha 90.00
_cell_angle_beta 90.00
_cell_angle_gamma 90.00
_symmetry_space_group_name_H-M 'P 1'
_symmetry_Int_Tables_number 1
loop_
_symmetry_equiv_pos_as_xyz
'x,y,z'
loop_
_atom_site_label
_atom_site_fract_x
_atom_site_fract_y
_atom_site_fract_z
Na1 0.000 0.500 0.000
Na2 0.500 0.000 0.000
Y1 0.000 0.000 0.500
Tl1 0.500 0.500 0.500
V1 0.500 0.500 0.000

***

# CaB2PdBr (PBE, relaxed)
# Crystal system: tetragonal
# Space group: P4/mmm
# Formation energy (no corrections), eV per formula unit: 1.4
# D(E_F), states/eV/cell: 1.788
# Total magnetic moment, μB per formula unit: 0.0
data_CaB2PdBr
_cell_length_a 4.057
_cell_length_b 4.057
_cell_length_c 6.696
_cell_angle_alpha 90.00
_cell_angle_beta 90.00
_cell_angle_gamma 90.00
_symmetry_space_group_name_H-M 'P 1'
_symmetry_Int_Tables_number 1
loop_
_symmetry_equiv_pos_as_xyz
'x,y,z'
loop_
_atom_site_label
_atom_site_fract_x
_atom_site_fract_y
_atom_site_fract_z
Ca1 0.000 0.000 0.000
B1 0.000 0.500 0.500
B2 0.500 0.000 0.500
Pd1 0.500 0.500 0.500
Br1 0.500 0.500 0.000

***

# CsSb12Au4 (PBE, relaxed)
# Crystal system: cubic
# Space group: Im-3
# Formation energy (no corrections), eV per formula unit: -1.4
# D(E_F), states/eV/cell: 7.673
# Total magnetic moment, μB per formula unit: 0.0
data_CsSb12Au4
_cell_length_a 8.628
_cell_length_b 8.628
_cell_length_c 8.628
_cell_angle_alpha 109.47
_cell_angle_beta 109.47
_cell_angle_gamma 109.47
_symmetry_space_group_name_H-M 'P 1'
_symmetry_Int_Tables_number 1
loop_
_symmetry_equiv_pos_as_xyz
'x,y,z'
loop_
_atom_site_label
_atom_site_fract_x
_atom_site_fract_y
_atom_site_fract_z
Cs1 0.000 0.000 0.000
Sb1 0.151 0.354 0.504
Sb2 0.151 0.646 0.797
Sb3 0.203 0.849 0.354
Sb4 0.354 0.203 0.849
Sb5 0.354 0.504 0.151
Sb6 0.496 0.849 0.646
Sb7 0.504 0.151 0.354
Sb8 0.646 0.496 0.849
Sb9 0.646 0.797 0.151
Sb10 0.797 0.151 0.646
Sb11 0.849 0.354 0.203
Sb12 0.849 0.646 0.496
Au1 0.000 0.000 0.500
Au2 0.000 0.500 0.000
Au3 0.500 0.000 0.000
Au4 0.500 0.500 0.500

***

# Cs2Rb3F6 (PBE, relaxed)
# Crystal system: monoclinic
# Space group: C2/m
# Formation energy (no corrections), eV per formula unit: -26.6
# D(E_F), states/eV/cell: 24.414
# Total magnetic moment, μB per formula unit: 1.2
data_Cs2Rb3F6
_cell_length_a 7.197
_cell_length_b 7.197
_cell_length_c 7.223
_cell_angle_alpha 99.20
_cell_angle_beta 99.20
_cell_angle_gamma 119.86
_symmetry_space_group_name_H-M 'P 1'
_symmetry_Int_Tables_number 1
loop_
_symmetry_equiv_pos_as_xyz
'x,y,z'
loop_
_atom_site_label
_atom_site_fract_x
_atom_site_fract_y
_atom_site_fract_z
Cs1 0.169 0.831 0.000
Cs2 0.831 0.169 0.000
Rb1 0.000 0.000 0.500
Rb2 0.345 0.655 0.500
Rb3 0.655 0.345 0.500
F1 0.046 0.405 0.719
F2 0.236 0.236 0.270
F3 0.405 0.046 0.719
F4 0.595 0.954 0.281
F5 0.764 0.764 0.730
F6 0.954 0.595 0.281

***

# Ge2Sb2I (PBE, relaxed)
# Crystal system: tetragonal
# Space group: P4/mbm
# Formation energy (no corrections), eV per formula unit: 1.3
# D(E_F), states/eV/cell: 4.992
# Total magnetic moment, μB per formula unit: 0.0
data_Ge2Sb2I
_cell_length_a 8.917
_cell_length_b 8.917
_cell_length_c 3.324
_cell_angle_alpha 90.00
_cell_angle_beta 90.00
_cell_angle_gamma 90.00
_symmetry_space_group_name_H-M 'P 1'
_symmetry_Int_Tables_number 1
loop_
_symmetry_equiv_pos_as_xyz
'x,y,z'
loop_
_atom_site_label
_atom_site_fract_x
_atom_site_fract_y
_atom_site_fract_z
Ge1 0.146 0.354 0.000
Ge2 0.354 0.854 0.000
Ge3 0.646 0.146 0.000
Ge4 0.854 0.646 0.000
Sb1 0.140 0.640 0.500
Sb2 0.360 0.140 0.500
Sb3 0.640 0.860 0.500
Sb4 0.860 0.360 0.500
I1 0.000 0.000 0.000
I2 0.500 0.500 0.000

***

# CsB5H8O12 (PBE, relaxed)
# Crystal system: monoclinic
# Space group: C2/c
# VASP energy, eV/atom: -6.46
# D(E_F), states/eV/cell: 0.000
# Total magnetic moment, μB per formula unit: 0.0
data_CsB5H8O12
_cell_length_a 7.282
_cell_length_b 7.282
_cell_length_c 11.854
_cell_angle_alpha 91.92
_cell_angle_beta 91.92
_cell_angle_gamma 105.43
_symmetry_space_group_name_H-M 'P 1'
_symmetry_Int_Tables_number 1
loop_
_symmetry_equiv_pos_as_xyz
'x,y,z'
loop_
_atom_site_label
_atom_site_fract_x
_atom_site_fract_y
_atom_site_fract_z
Cs1 0.209 0.791 0.750
Cs2 0.791 0.209 0.250
B1 0.145 0.725 0.440
B2 0.250 0.519 0.068
B3 0.275 0.855 0.060
B4 0.285 0.715 0.250
B5 0.481 0.750 0.432
B6 0.519 0.250 0.568
B7 0.715 0.285 0.750
B8 0.725 0.145 0.940
B9 0.750 0.481 0.932
B10 0.855 0.275 0.560
H1 0.105 0.316 0.745
H2 0.123 0.263 0.520
H3 0.231 0.354 0.928
H4 0.263 0.123 0.020
H5 0.316 0.105 0.245
H6 0.317 0.328 0.249
H7 0.328 0.317 0.749
H8 0.354 0.231 0.428
H9 0.646 0.769 0.572
H10 0.672 0.683 0.251
H11 0.683 0.672 0.751
H12 0.684 0.895 0.755
H13 0.737 0.877 0.980
H14 0.769 0.646 0.072
H15 0.877 0.737 0.480
H16 0.895 0.684 0.255
O1 0.003 0.732 0.511
O2 0.123 0.705 0.325
O3 0.228 0.357 0.790
O4 0.235 0.347 0.013
O5 0.252 0.530 0.184
O6 0.260 0.678 0.005
O7 0.268 0.997 0.989
O8 0.295 0.877 0.175
O9 0.322 0.740 0.495
O10 0.347 0.235 0.513
O11 0.357 0.228 0.290
O12 0.470 0.748 0.316
O13 0.530 0.252 0.684
O14 0.643 0.772 0.710
O15 0.653 0.765 0.487
O16 0.678 0.260 0.505
O17 0.705 0.123 0.825
O18 0.732 0.003 0.011
O19 0.740 0.322 0.995
O20 0.748 0.470 0.816
O21 0.765 0.653 0.987
O22 0.772 0.643 0.210
O23 0.877 0.295 0.675
O24 0.997 0.268 0.489

***

# ZrTlCl3 (PBE, relaxed)
# Crystal system: cubic
# Space group: Pm-3m
# Formation energy (no corrections), eV per formula unit: 0.4
# D(E_F), states/eV/cell: 5.448
# Total magnetic moment, μB per formula unit: 2.5
data_ZrTlCl3
_cell_length_a 5.530
_cell_length_b 5.530
_cell_length_c 5.530
_cell_angle_alpha 90.00
_cell_angle_beta 90.00
_cell_angle_gamma 90.00
_symmetry_space_group_name_H-M 'P 1'
_symmetry_Int_Tables_number 1
loop_
_symmetry_equiv_pos_as_xyz
'x,y,z'
loop_
_atom_site_label
_atom_site_fract_x
_atom_site_fract_y
_atom_site_fract_z
Zr1 0.000 0.000 0.000
Tl1 0.500 0.500 0.500
Cl1 0.000 0.500 0.500
Cl2 0.500 0.000 0.500
Cl3 0.500 0.500 0.000

***

# Ag2RhAu (PBE, relaxed)
# Crystal system: tetragonal
# Formation energy, meV per atom: 232
# Space group: P4/mmm
# D(E_F), states/eV/cell: 3.911
# Total magnetic moment, μB per formula unit: 0.0
data_Ag2RhAu
_cell_length_a 4.680
_cell_length_b 4.680
_cell_length_c 3.101
_cell_angle_alpha 90.00
_cell_angle_beta 90.00
_cell_angle_gamma 90.00
_symmetry_space_group_name_H-M 'P 1'
_symmetry_Int_Tables_number 1
loop_
_symmetry_equiv_pos_as_xyz
'x,y,z'
loop_
_atom_site_label
_atom_site_fract_x
_atom_site_fract_y
_atom_site_fract_z
Ag1 0.000 0.500 0.000
Ag2 0.500 0.000 0.000
Rh1 0.000 0.000 0.500
Au1 0.500 0.500 0.500

***

# Ba2Re (PBE, relaxed)
# Crystal system: cubic
# Formation energy, meV per atom: 2043
# Space group: Fd-3m
# D(E_F), states/eV/cell: 9.101
# Total magnetic moment, μB per formula unit: 2.6
data_Ba2Re
_cell_length_a 6.693
_cell_length_b 6.693
_cell_length_c 6.693
_cell_angle_alpha 60.00
_cell_angle_beta 60.00
_cell_angle_gamma 60.00
_symmetry_space_group_name_H-M 'P 1'
_symmetry_Int_Tables_number 1
loop_
_symmetry_equiv_pos_as_xyz
'x,y,z'
loop_
_atom_site_label
_atom_site_fract_x
_atom_site_fract_y
_atom_site_fract_z
Ba1 0.000 0.000 0.000
Ba2 0.000 0.000 0.500
Ba3 0.000 0.500 0.000
Ba4 0.500 0.000 0.000
Re1 0.375 0.375 0.375
Re2 0.625 0.625 0.625

***

# Lu2PuCu (PBE, relaxed)
# Crystal system: trigonal
# Formation energy, meV per atom: 273
# Space group: R-3m
# D(E_F), states/eV/cell: 9.728
# Total magnetic moment, μB per formula unit: 6.2
data_Lu2PuCu
_cell_length_a 10.808
_cell_length_b 10.808
_cell_length_c 10.808
_cell_angle_alpha 17.92
_cell_angle_beta 17.92
_cell_angle_gamma 17.92
_symmetry_space_group_name_H-M 'P 1'
_symmetry_Int_Tables_number 1
loop_
_symmetry_equiv_pos_as_xyz
'x,y,z'
loop_
_atom_site_label
_atom_site_fract_x
_atom_site_fract_y
_atom_site_fract_z
Lu1 0.103 0.103 0.103
Lu2 0.897 0.897 0.897
Pu1 0.000 0.000 0.000
Cu1 0.500 0.500 0.500